1.
Material: Na2PbWI
Method: DFT, PBE-GGA
State: optimized geometry

```
Na2PbWI
1.0
5.466 0.000 0.000
0.000 6.444 0.000
0.000 0.000 5.466
Na Pb W I
2 1 1 1
Direct
0.000 0.000 0.500 Na
0.500 0.000 0.000 Na
0.000 0.500 0.000 Pb
0.500 0.500 0.500 W
0.000 0.000 0.000 I
```

***

2.
Material: NaPbWI
Method: DFT, PBE-GGA
State: optimized geometry

```
NaPbWI
1.0
3.419 0.000 0.000
0.000 4.478 0.000
0.000 0.000 14.579
Pb W Na I
2 2 2 2
Direct
0.000 0.000 0.779 Pb
0.000 0.500 0.279 Pb
0.500 0.000 0.293 W
0.500 0.500 0.793 W
0.000 0.000 0.088 Na
0.000 0.500 0.588 Na
0.500 0.500 0.980 I
0.500 0.000 0.480 I
```

***

3.
Material: NaPbWI
Method: DFT, PBE-GGA
State: optimized geometry

```
NaPbWI
1.0
9.207 0.000 -0.023
0.000 3.654 0.000
-1.455 0.000 6.190
Pb Na W I
2 2 2 2
Direct
0.225 0.000 0.648 Pb
0.225 0.500 0.148 Pb
0.960 0.500 0.726 Na
0.960 0.000 0.226 Na
0.446 0.000 0.389 W
0.446 0.500 0.889 W
0.646 0.000 0.789 I
0.646 0.500 0.289 I
```

***

4.
Material: NaPbWI
Method: DFT, PBE-GGA
State: optimized geometry

```
NaPbWI
1.0
3.634 0.000 0.000
-1.817 3.148 0.000
0.000 0.000 9.132
Pb I W Na
1 1 1 1
Direct
0.000 0.000 0.773 Pb
0.000 0.000 0.356 I
0.333 0.667 0.553 W
0.667 0.333 0.041 Na
```

***

5.
Material: NaYPbI6
Method: DFT, PBE-GGA
State: optimized geometry

```
NaYPbI6
1.0
7.962 0.000 0.000
-3.981 6.895 0.000
0.000 0.000 14.435
Na Y I Pb
2 2 12 2
Direct
0.000 0.000 0.500 Na
0.000 0.000 0.000 Na
0.667 0.333 0.250 Y
0.333 0.667 0.750 Y
0.980 0.338 0.127 I
0.020 0.358 0.627 I
0.358 0.338 0.373 I
0.642 0.662 0.627 I
0.358 0.020 0.127 I
0.338 0.980 0.627 I
0.662 0.642 0.127 I
0.020 0.662 0.873 I
0.662 0.020 0.373 I
0.980 0.642 0.373 I
0.338 0.358 0.873 I
0.642 0.980 0.873 I
0.333 0.667 0.250 Pb
0.667 0.333 0.750 Pb
```

***

6.
Material: NaZrPb2I
Method: DFT, PBE-GGA
State: optimized geometry

```
NaZrPb2I
1.0
5.493 0.000 0.000
0.000 5.511 0.000
0.000 0.000 5.493
Pb Na I Zr
2 1 1 1
Direct
0.500 0.000 0.000 Pb
0.000 0.000 0.500 Pb
0.000 0.000 0.000 Na
0.000 0.500 0.000 I
0.500 0.500 0.500 Zr
```

***

7.
Material: Na2PdI
Method: DFT, PBE-GGA
State: optimized geometry

```
Na2PdI
1.0
-3.156 -3.912 -6.655
4.208 -6.900 2.060
-1.843 -6.350 -0.620
Na Pd I
4 2 2
Direct
0.875 0.845 0.750 Na
0.375 0.405 0.750 Na
0.155 0.625 0.250 Na
0.595 0.125 0.250 Na
0.500 0.500 0.000 Pd
0.250 0.750 0.500 Pd
0.750 0.250 0.500 I
0.000 0.000 0.000 I
```

***

8.
Material: Na3PdI4
Method: DFT, PBE-GGA
State: optimized geometry

```
Na3PdI4
1.0
-2.397 -2.439 4.761
7.737 -4.143 1.773
3.410 9.097 6.376
I Pd Na
8 2 6
Direct
0.064 0.702 0.500 I
0.064 0.285 0.229 I
0.564 0.715 0.729 I
0.064 0.285 0.771 I
0.064 0.840 0.000 I
0.564 0.715 0.271 I
0.564 0.298 0.000 I
0.564 0.160 0.500 I
0.564 0.710 0.500 Pd
0.064 0.290 0.000 Pd
0.064 0.637 0.786 Na
0.564 0.363 0.714 Na
0.564 0.952 0.000 Na
0.564 0.363 0.286 Na
0.064 0.048 0.500 Na
0.064 0.637 0.214 Na
```

***

9.
Material: Na3PdI6
Method: DFT, PBE-GGA
State: optimized geometry

```
Na3PdI6
1.0
7.621 0.000 -0.472
0.000 7.979 0.000
-0.608 0.000 11.753
Na I Pd
6 12 2
Direct
0.473 0.109 0.265 Na
0.973 0.391 0.765 Na
0.527 0.891 0.735 Na
0.000 0.000 0.500 Na
0.500 0.500 0.000 Na
0.027 0.609 0.235 Na
0.291 0.827 0.085 I
0.791 0.673 0.585 I
0.709 0.173 0.915 I
0.634 0.481 0.267 I
0.134 0.019 0.767 I
0.336 0.793 0.440 I
0.866 0.981 0.233 I
0.366 0.519 0.733 I
0.209 0.327 0.415 I
0.664 0.207 0.560 I
0.836 0.707 0.940 I
0.164 0.293 0.060 I
0.500 0.500 0.500 Pd
0.000 0.000 0.000 Pd
```

***

10.
Material: Na3PdI
Method: DFT, PBE-GGA
State: optimized geometry

```
Na3PdI
1.0
-0.993 -2.579 4.759
2.310 -4.578 -1.999
4.896 1.637 1.908
Na I Pd
3 1 1
Direct
0.000 0.000 0.500 Na
0.500 0.000 0.000 Na
0.000 0.500 0.000 Na
0.500 0.500 0.500 I
0.000 0.000 0.000 Pd
```

***

11.
Material: NaPdI4
Method: DFT, PBE-GGA
State: optimized geometry

```
NaPdI4
1.0
-2.886 1.015 2.929
4.823 -0.452 4.909
1.344 7.487 -1.269
I Na Pd
4 1 1
Direct
0.500 0.274 0.348 I
0.000 0.739 0.233 I
0.500 0.726 0.652 I
0.000 0.261 0.767 I
0.500 0.500 0.000 Na
0.000 0.500 0.500 Pd
```

***

12.
Material: Na2PdI6
Method: DFT, PBE-GGA
State: optimized geometry

```
Na2PdI6
1.0
-6.393 -5.818 -2.799
5.733 -6.954 0.817
-2.700 -1.206 8.677
I Na Pd
12 4 2
Direct
0.001 0.159 0.998 I
0.706 0.515 0.030 I
0.794 0.985 0.530 I
0.469 0.995 0.792 I
0.294 0.485 0.970 I
0.206 0.015 0.470 I
0.969 0.495 0.708 I
0.031 0.505 0.292 I
0.501 0.659 0.502 I
0.499 0.341 0.498 I
0.531 0.005 0.208 I
0.999 0.841 0.002 I
0.226 0.249 0.725 Na
0.726 0.749 0.775 Na
0.274 0.251 0.225 Na
0.774 0.751 0.275 Na
0.000 0.500 0.000 Pd
0.500 0.000 0.500 Pd
```

***

Let's list uncorrected formation energy in order: 6.0; 2.1; 2.1; 2.2; -10.0; 4.0; -1.0; -7.0; -7.3; -1.7; -2.7; -5.4 eV per formula unit.
Let's list magnetic moment in order: 0.772; 0.111; 0.000; 0.000; 0.000; 0.004; 0.000; 0.000; 0.102; 0.000; 0.113; 0.000 μB per atom.